VASP calculation (SCAN) on La2TlSb at its PBEsol-relaxed geometry.

The structure belongs to space group P4/mmm (No. 123); the cell edges are 5.138, 5.138 and 4.388 Å and the angles 90.00°, 90.00° and 90.00°. The distinct sites, in fractional coordinates, are La at (0.000, 0.500, 0.000), Tl at (0.000, 0.000, 0.500) and Sb at (0.500, 0.500, 0.500).

The polymorph energy (0 for the lowest one) is 85 meV per atom. The value obtained for the calculated total energy is -49.82 eV per atom. The formation energy (no corrections) is -0.86 eV/atom. Its volume is 116 Å³ per cell. The density of states at the Fermi level is 0.884 states/eV per atom.